! DyZn8Ag3, relaxed, DFT GGA-PBE; values from VASP
! VASP energy = -2.0614 eV per atom
! Formation energy = -2.7 kcal/mol of atoms
&SYSTEM
  ibrav = 0, nat = 12, ntyp = 3
/
ATOMIC_SPECIES
Zn 65.41 Zn.upf
Ag 107.87 Ag.upf
Dy 162.50 Dy.upf
CELL_PARAMETERS angstrom
5.154 0.000 0.000
-2.577 4.463 0.000
0.000 0.000 8.699
ATOMIC_POSITIONS crystal
Zn 0.163 0.326 0.245
Zn 0.163 0.837 0.245
Zn 0.996 0.498 0.760
Zn 0.333 0.667 0.499
Zn 0.502 0.498 0.760
Zn 0.333 0.667 0.006
Zn 0.674 0.837 0.245
Zn 0.502 0.004 0.760
Ag 0.667 0.333 0.064
Ag 0.667 0.333 0.427
Ag 0.000 0.000 0.930
Dy 0.000 0.000 0.560

! Dy3Zn3Ag2, relaxed, DFT GGA-PBE; values from VASP
! VASP energy = -3.1539 eV per atom
! Formation energy = -5.5 kcal/mol of atoms
&SYSTEM
  ibrav = 0, nat = 8, ntyp = 3
/
ATOMIC_SPECIES
Dy 162.50 Dy.upf
Zn 65.41 Zn.upf
Ag 107.87 Ag.upf
CELL_PARAMETERS angstrom
-3.479 -0.906 -1.817
3.519 -1.267 -6.104
-1.065 -5.307 4.685
ATOMIC_POSITIONS crystal
Dy 0.500 0.000 0.614
Dy 0.500 0.386 0.386
Dy 0.500 0.614 0.000
Zn 0.000 0.224 0.000
Zn 0.000 0.000 0.224
Zn 0.000 0.776 0.776
Ag 0.000 0.667 0.333
Ag 0.000 0.333 0.667

! DyZnAg2, relaxed, DFT GGA-PBE; values from VASP
! VASP energy = -3.0472 eV per atom
! Formation energy = -3.5 kcal/mol of atoms
&SYSTEM
  ibrav = 0, nat = 4, ntyp = 3
/
ATOMIC_SPECIES
Dy 162.50 Dy.upf
Zn 65.41 Zn.upf
Ag 107.87 Ag.upf
CELL_PARAMETERS angstrom
-0.532 -2.710 -1.973
1.531 -1.974 2.298
-6.110 -1.085 3.139
ATOMIC_POSITIONS crystal
Dy 0.500 0.500 0.500
Zn 0.500 0.500 0.000
Ag 0.000 0.000 0.787
Ag 0.000 0.000 0.213

! Dy2ZnAg, relaxed, DFT GGA-PBE; values from VASP
! VASP energy = -3.6682 eV per atom
! Formation energy = -7.7 kcal/mol of atoms
&SYSTEM
  ibrav = 0, nat = 4, ntyp = 3
/
ATOMIC_SPECIES
Zn 65.41 Zn.upf
Ag 107.87 Ag.upf
Dy 162.50 Dy.upf
CELL_PARAMETERS angstrom
-0.044 -2.249 -2.806
1.237 -2.645 2.101
-6.768 -1.882 1.614
ATOMIC_POSITIONS crystal
Zn 0.500 0.500 0.000
Ag 0.500 0.500 0.500
Dy 0.000 0.000 0.757
Dy 0.000 0.000 0.243